# Ga5Si | the Alexandria database | PBE | relaxed
# ρ	5.69	g cm⁻³
# calculated total energy	-39.55	eV for the cell shown
data_Ga5Si
_chemical_formula_sum 'Ga10 Si2'
_cell_length_a 4.694
_cell_length_b 11.850
_cell_length_c 3.952
_cell_angle_alpha 90.00
_cell_angle_beta 90.00
_cell_angle_gamma 90.00
_symmetry_space_group_name_H-M 'C m m m'
_symmetry_Int_Tables_number 65
_symmetry_space_group_name_Hall '-C 2 2'
loop_
_atom_site_label
_atom_site_fract_x
_atom_site_fract_y
_atom_site_fract_z
Ga1 0.000 0.000 0.000
Ga2 0.000 0.168 0.500
Ga3 0.000 0.343 0.000
Si1 0.000 0.500 0.500